The following is a GGA-PBE calculation of crystalline YSi2OsRh at its relaxed geometry, from Alexandria.

a = 5.695 Å, b = 5.695 Å, c = 5.695 Å
α = 137.41°, β = 137.41°, γ = 61.81°
Element x y z (fractional)
Y: 0.000 0.000 0.000
Si: 0.373 0.373 0.000
Si: 0.627 0.627 0.000
Os: 0.250 0.750 0.500
Rh: 0.750 0.250 0.500

Summary:
V in Å³/atom: 16.73
Formation energy from raw total energies in eV per formula unit: -4.73